[1]
! Be2Fe | Alexandria via LeMat-Bulk | PBE-GGA | relaxed; values from VASP
! Electronic total energy   -5.44 eV per atom
! Formation energy   -0.40 eV/f.u.
! Energy relative to the lowest polymorph listed for this composition   151 meV/atom
&SYSTEM
  ibrav = 0, nat = 6, ntyp = 2
/
ATOMIC_SPECIES
Be 9.01 Be.upf
Fe 55.84 Fe.upf
ATOMIC_POSITIONS angstrom
Be 1.2518 2.9692 0.9173
Be 1.2518 -2.9692 2.7519
Be 1.2518 -0.8650 0.9173
Fe 1.2518 4.6286 2.7519
Be 1.2518 0.8650 2.7519
Fe 1.2518 -4.6286 0.9173
CELL_PARAMETERS angstrom
1.2518 -5.6710 0.0000
1.2518 5.6710 0.0000
0.0000 0.0000 3.6691



[2]
! BeFe2 | Alexandria via LeMat-Bulk | PBE-GGA | relaxed; values from VASP
! Electronic total energy   -6.88 eV per atom
! Formation energy   0.01 eV/f.u.
&SYSTEM
  ibrav = 0, nat = 6, ntyp = 2
/
ATOMIC_SPECIES
Fe 55.84 Fe.upf
Be 9.01 Be.upf
ATOMIC_POSITIONS angstrom
Fe -0.1377 -0.8441 -3.0189
Be -1.6188 -3.7854 -2.7939
Fe -2.5123 -6.1457 -5.7789
Fe -0.9204 -3.4138 -8.3102
Be -1.0313 -3.2044 -6.0040
Fe -1.7297 -3.5760 -0.4877
CELL_PARAMETERS angstrom
-1.1782 -0.4012 -4.2807
1.0174 -1.4911 -4.0761
-2.4893 -5.0974 -0.4411



[3]
! Be8Fe | Alexandria via LeMat-Bulk | PBE-GGA | relaxed; values from VASP
! Electronic total energy   -4.29 eV per atom
! Formation energy   -0.33 eV/f.u.
&SYSTEM
  ibrav = 0, nat = 9, ntyp = 2
/
ATOMIC_SPECIES
Be 9.01 Be.upf
Fe 55.84 Fe.upf
ATOMIC_POSITIONS angstrom
Be 3.0869 -1.0854 2.1539
Be 2.1248 -2.9748 1.4631
Be 2.4567 -3.7206 -0.6282
Be 4.2903 -2.9389 1.8560
Be 3.4692 -1.8160 0.1132
Be 0.8688 -1.1024 1.8080
Be 1.2716 -1.8721 -0.3421
Fe 0.0000 0.0000 0.0000
Be 1.6770 -2.2308 3.5333
CELL_PARAMETERS angstrom
-0.1410 -3.0123 1.0520
3.8694 -2.5805 -2.0222
2.6867 -0.3209 4.2893



[4]
! BeFe2 | Alexandria via LeMat-Bulk | PBE-GGA | relaxed; values from VASP
! Electronic total energy   -6.93 eV per atom
! Formation energy   -0.12 eV/f.u.
&SYSTEM
  ibrav = 0, nat = 3, ntyp = 2
/
ATOMIC_SPECIES
Fe 55.84 Fe.upf
Be 9.01 Be.upf
ATOMIC_POSITIONS angstrom
Fe 4.1761 2.4231 0.0000
Be 0.0000 0.0000 0.0000
Fe 2.1422 1.2430 0.0000
CELL_PARAMETERS angstrom
4.2227 0.0000 -0.0010
2.0955 3.6661 0.0010
-2.7838 -2.4798 1.9830